1.
# GGA-PBEsol La2CrO6, optimized geometry
data_La2CrO6
_chemical_formula_sum 'La2 Cr1 O6'
_cell_length_a 5.240
_cell_length_b 5.240
_cell_length_c 5.240
_cell_angle_alpha 64.86
_cell_angle_beta 64.86
_cell_angle_gamma 64.86
_space_group_name_H-M_alt 'P 1'
_space_group_IT_number 1
loop_
_space_group_symop_operation_xyz
'x,y,z'
loop_
_atom_site_label
_atom_site_fract_x
_atom_site_fract_y
_atom_site_fract_z
_atom_site_occupancy
La1 0.243 0.243 0.243 1
La2 0.757 0.757 0.757 1
Cr1 0.500 0.500 0.500 1
O1 0.189 0.351 0.710 1
O2 0.290 0.811 0.649 1
O3 0.351 0.710 0.189 1
O4 0.649 0.290 0.811 1
O5 0.710 0.189 0.351 1
O6 0.811 0.649 0.290 1
# Symmetry = R-3, No. 148
# Density = 6.28 Mg/m³
# E_form (uncorrected) = -23.6 eV/f.u.
# Relative energy among the computed polymorphs = 5.03 kcal/mol of atoms

2.
# GGA-PBEsol LaCrP2O, optimized geometry
data_LaCrP2O
_chemical_formula_sum 'La1 Cr1 P2 O1'
_cell_length_a 4.761
_cell_length_b 4.761
_cell_length_c 3.611
_cell_angle_alpha 90.00
_cell_angle_beta 90.00
_cell_angle_gamma 90.00
_space_group_name_H-M_alt 'P 1'
_space_group_IT_number 1
loop_
_space_group_symop_operation_xyz
'x,y,z'
loop_
_atom_site_label
_atom_site_fract_x
_atom_site_fract_y
_atom_site_fract_z
_atom_site_occupancy
La1 0.000 0.000 0.000 1
Cr1 0.500 0.500 0.500 1
P1 0.000 0.500 0.500 1
P2 0.500 0.000 0.500 1
O1 0.500 0.500 0.000 1
# DOS at the Fermi energy = 0.6439 states/eV per atom
# Symmetry = P4/mmm, No. 123
# Density = 5.45 Mg/m³
# E_form (uncorrected) = -5.1 eV/f.u.

3.
# GGA-PBEsol LaCrS2O, optimized geometry
data_LaCrS2O
_chemical_formula_sum 'La4 Cr4 S8 O4'
_cell_length_a 8.321
_cell_length_b 3.681
_cell_length_c 11.035
_cell_angle_alpha 90.00
_cell_angle_beta 90.00
_cell_angle_gamma 90.00
_space_group_name_H-M_alt 'P 1'
_space_group_IT_number 1
loop_
_space_group_symop_operation_xyz
'x,y,z'
loop_
_atom_site_label
_atom_site_fract_x
_atom_site_fract_y
_atom_site_fract_z
_atom_site_occupancy
La1 0.047 0.250 0.151 1
La2 0.453 0.750 0.651 1
La3 0.547 0.250 0.349 1
La4 0.953 0.750 0.849 1
Cr1 0.171 0.250 0.469 1
Cr2 0.329 0.750 0.969 1
Cr3 0.671 0.250 0.031 1
Cr4 0.829 0.750 0.531 1
S1 0.097 0.750 0.598 1
S2 0.242 0.750 0.331 1
S3 0.258 0.250 0.831 1
S4 0.403 0.250 0.098 1
S5 0.597 0.750 0.902 1
S6 0.742 0.750 0.169 1
S7 0.758 0.250 0.669 1
S8 0.903 0.250 0.402 1
O1 0.114 0.750 0.035 1
O2 0.386 0.250 0.535 1
O3 0.614 0.750 0.465 1
O4 0.886 0.250 0.965 1
# Symmetry = Pnma, No. 62
# Density = 5.33 Mg/m³
# E_form (uncorrected) = -9.8 eV/f.u.

Q: Look up the density of the first one.
A: 6.28 Mg/m³

Q: What is the E_form (uncorrected) in the second record?
A: -5.1 eV/f.u.